w:
The following is a PBE calculation of an optimized crystal structure of ZnSiB4, from OQMD.

Unit cell a=3.0221 b=5.2628 c=6.6487 alpha=90.00 beta=90.00 gamma=90.00
Space group Immm (No. 71)
Inequivalent atoms, fractional coordinates:
Zn: 0.0000 0.0000 0.0000 [2 per cell]
Si: 0.0000 0.0000 0.5000 [2 per cell]
B: 0.0000 0.3336 0.2481 [8 per cell]

***

x:
The following is a PBE calculation of an optimized crystal structure of ZnSiB4, from OQMD.

Unit cell a=3.0125 b=3.0125 c=6.7775 alpha=90.00 beta=90.00 gamma=120.00
Space group P6/mmm (No. 191)
Inequivalent atoms, fractional coordinates:
Zn: 0.0000 0.0000 0.0000 [1 per cell]
Si: 0.0000 0.0000 0.5000 [1 per cell]
B: 0.3333 0.6667 0.2601 [4 per cell]

***

w comes first in stability; the runner-up is 7 meV/atom higher.